4
Lattice="-0.847 -0.927 -6.117 2.003 -4.638 -3.671 -2.784 1.425 5.405" Properties=species:S:1:pos:R:3 comment="CaRu2Br PBE optimized geometry" spacegroup="No. 139" polymorph_energy_mev_per_atom=418 raw_formation_energy_ev_per_atom=0.368 pbc="T T T"
Ru 0.578 -2.782 -4.894
Ru 0.000 0.000 0.000
Ca -1.527 -1.142 -2.803
Br -0.101 -2.998 -1.580

---

4
Lattice="3.619 0.000 0.000 0.000 6.024 0.000 0.000 0.000 4.338" Properties=species:S:1:pos:R:3 comment="CaRuBr2 PBE optimized geometry" spacegroup="No. 47" polymorph_energy_mev_per_atom=389 raw_formation_energy_ev_per_atom=-0.178 pbc="T T T"
Ca 1.810 0.000 2.169
Br 1.810 3.012 0.000
Br 0.000 0.000 0.000
Ru 0.000 3.012 2.169